A relaxed structure of SrHgMo2O8. Source: the Alexandria database, functional PBE with a Hubbard U.

Cell: 7.5783 7.5783 6.9265 Å, 90.00 90.00 90.00°
Last column: nearest neighbours and their distance in Å.
Space group I-4m2 (No. 119)
Symmetry-distinct sites (fractional):
Sr (0.0000, 0.0000, 0.0000)  4 O 2.45
Hg (0.0000, 0.5000, 0.2500)  4 O 2.44
Mo (0.0000, 0.0000, 0.5000)  4 O 1.80
Mo (0.0000, 0.5000, 0.7500)  4 O 1.79
O (0.0000, 0.1883, 0.3407)  1 Mo 1.80
O (0.0000, 0.3119, 0.9070)  1 Mo 1.79

Computed properties:
The calculation puts the total energy at -6.31 eV per atom. The calculation puts the spin magnetization at 0.00 μB per atom.